Entry 1:
DFT (PBE) results for a relaxed structure of ScMnVTc.

Cell lengths 4.3739, 4.3739, 4.3739 Å; angles 60.00, 60.00, 60.00 degrees
Positions (direct):
Tc (0.2500, 0.2500, 0.2500)
V (0.5000, 0.5000, 0.5000)
Mn (0.7500, 0.7500, 0.7500)
Sc (0.0000, 0.0000, 0.0000)

Values from the calculation:
Space-group type   F-43m, No. 216
Energy   -8.84 eV/atom
Volume   14.793 Å³/atom
Energy relative to the elements   -96.5 meV per atom

Entry 2:
DFT (PBE) results for a relaxed structure of ScMnZnTc.

Cell lengths 4.3800, 4.3800, 4.3800 Å; angles 60.00, 60.00, 60.00 degrees
Positions (direct):
Zn (0.7500, 0.7500, 0.7500)
Tc (0.5000, 0.5000, 0.5000)
Sc (0.0000, 0.0000, 0.0000)
Mn (0.2500, 0.2500, 0.2500)

Values from the calculation:
Space-group type   F-43m, No. 216
Energy   -6.78 eV/atom
Volume   14.854 Å³/atom
Energy relative to the elements   5.2 meV per atom

Entry 3:
DFT (PBE) results for a relaxed structure of ZrScMnTc.

Cell lengths 4.6219, 4.6219, 4.6219 Å; angles 60.00, 60.00, 60.00 degrees
Positions (direct):
Tc (0.2500, 0.2500, 0.2500)
Zr (0.5000, 0.5000, 0.5000)
Mn (0.7500, 0.7500, 0.7500)
Sc (0.0000, 0.0000, 0.0000)

Values from the calculation:
Space-group type   F-43m, No. 216
Energy   -8.73 eV/atom
Volume   17.454 Å³/atom
Energy relative to the elements   -125.4 meV per atom

Entry 4:
DFT (PBE) results for a relaxed structure of ScMnTe.

Cell lengths 3.8965, 3.8965, 5.4426 Å; angles 90.00, 90.00, 120.00 degrees
Positions (direct):
Mn (0.0000, 0.0000, 0.9726)
Sc (0.3333, 0.6667, 0.3415)
Te (0.6667, 0.3333, 0.6858)

Values from the calculation:
Space-group type   P3m1, No. 156
Energy   -6.33 eV/atom
ΔE_f (raw)   -0.1129 eV/atom
Volume   23.855 Å³/atom

Entry 5:
DFT (PBE) results for a relaxed structure of ScMnTe.

Cell lengths 3.6312, 3.6312, 12.4977 Å; angles 81.65, 81.65, 60.00 degrees
Positions (direct):
Sc (0.5557, 0.5557, 0.3329)
Sc (0.4443, 0.4443, 0.6671)
Te (0.7198, 0.7198, 0.8405)
Te (0.2802, 0.2802, 0.1595)
Mn (0.1652, 0.1652, 0.5044)
Mn (0.8348, 0.8348, 0.4956)

Values from the calculation:
Space-group type   R-3m, No. 166
Energy   -6.54 eV/atom
ΔE_f (raw)   -0.3259 eV/atom
Volume   23.448 Å³/atom

Entry 6:
DFT (PBE) results for a relaxed structure of Sc6Mn2Te.

Cell lengths 7.8929, 7.8928, 7.8928 Å; angles 106.65, 112.01, 109.80 degrees
Positions (direct):
Sc (0.2998, 0.6103, 0.3105)
Sc (0.2215, 0.7634, 0.9850)
Sc (0.2998, 0.9892, 0.6895)
Sc (0.7002, 0.0108, 0.3105)
Sc (0.4711, 0.2829, 0.1882)
Sc (0.7785, 0.2366, 0.0150)
Sc (0.7002, 0.3897, 0.6895)
Sc (0.9054, 0.7171, 0.1882)
Sc (0.5289, 0.7171, 0.8118)
Sc (0.7785, 0.7634, 0.5419)
Sc (0.2215, 0.2366, 0.4581)
Sc (0.0946, 0.2829, 0.8118)
Mn (0.5000, 0.6104, 0.1104)
Mn (0.3810, 0.0000, 0.3810)
Mn (0.5000, 0.3896, 0.8896)
Mn (0.6190, 0.0000, 0.6190)
Te (0.0000, 0.5000, 0.5000)
Te (0.0000, 0.0000, 0.0000)

Values from the calculation:
Space-group type   Immm, No. 71
Energy   -6.86 eV/atom
ΔE_f (raw)   -0.2503 eV/atom
Volume   20.982 Å³/atom

Entry 7:
DFT (PBE) results for a relaxed structure of ScMn3Te.

Cell lengths 4.7618, 4.7618, 4.7618 Å; angles 90.00, 90.00, 90.00 degrees
Positions (direct):
Sc (0.0000, 0.0000, 0.0000)
Te (0.5000, 0.5000, 0.5000)
Mn (0.0000, 0.5000, 0.0000)
Mn (0.5000, 0.0000, 0.0000)
Mn (0.0000, 0.0000, 0.5000)

Values from the calculation:
Space-group type   Pm-3m, No. 221
Energy   -6.22 eV/atom
ΔE_f (raw)   1.1746 eV/atom
Volume   21.594 Å³/atom

Entry 8:
DFT (PBE) results for a relaxed structure of ScMnTe.

Cell lengths 5.3154, 5.3152, 3.6551 Å; angles 69.89, 69.89, 40.22 degrees
Positions (direct):
Mn (0.0019, 0.0019, 0.9981)
Te (0.6642, 0.6642, 0.3358)
Sc (0.3339, 0.3339, 0.6661)

Values from the calculation:
Space-group type   I4mm, No. 107
Energy   -6.50 eV/atom
ΔE_f (raw)   -0.2824 eV/atom
Volume   20.684 Å³/atom

Entry 9:
DFT (PBE) results for a relaxed structure of ScMn3Te.

Cell lengths 4.8245, 4.8245, 4.8245 Å; angles 90.00, 90.00, 90.00 degrees
Positions (direct):
Sc (0.5000, 0.5000, 0.5000)
Mn (0.0000, 0.5000, 0.0000)
Mn (0.5000, 0.0000, 0.0000)
Mn (0.0000, 0.0000, 0.5000)
Te (0.0000, 0.0000, 0.0000)

Values from the calculation:
Space-group type   Pm-3m, No. 221
Energy   -6.62 eV/atom
ΔE_f (raw)   0.7715 eV/atom
Volume   22.458 Å³/atom

Entry 10:
DFT (PBE) results for a relaxed structure of ScMnTe.

Cell lengths 4.3829, 4.3829, 3.6051 Å; angles 90.00, 90.00, 120.00 degrees
Positions (direct):
Te (0.3333, 0.6667, 0.8330)
Sc (0.6667, 0.3333, 0.3335)
Mn (0.0000, 0.0000, 0.8334)

Values from the calculation:
Space-group type   P-6m2, No. 187
Energy   -6.47 eV/atom
ΔE_f (raw)   -0.2522 eV/atom
Volume   19.992 Å³/atom

Entry 11:
DFT (PBE) results for a relaxed structure of Sc3MnTl4Te8.

Cell lengths 8.5028, 9.3695, 8.5031 Å; angles 116.97, 120.00, 90.00 degrees
Positions (direct):
Te (0.2648, 0.2944, 0.5295)
Te (0.2603, 0.3004, 0.0304)
Te (0.7397, 0.6996, 0.9696)
Te (0.2299, 0.6995, 0.4597)
Te (0.7701, 0.3005, 0.5403)
Te (0.2300, 0.6996, 0.9696)
Te (0.7352, 0.7056, 0.4705)
Te (0.7700, 0.3004, 0.0304)
Tl (0.5000, 0.0000, 0.0000)
Tl (0.0000, 0.0000, 0.5000)
Tl (0.5000, 0.0000, 0.5000)
Tl (0.0000, 0.0000, 0.0000)
Sc (0.5000, 0.5000, 0.0000)
Sc (0.5000, 0.5000, 0.5000)
Sc (0.0000, 0.5000, 0.5000)
Mn (0.0000, 0.5000, 0.0000)

Values from the calculation:
Space-group type   R-3m, No. 166
Energy   -4.66 eV/atom
ΔE_f (raw)   -0.7361 eV/atom
Volume   31.236 Å³/atom

Entry 12:
DFT (PBE) results for a relaxed structure of ScMn2Tl3Te6.

Cell lengths 7.2341, 7.2341, 8.2881 Å; angles 98.28, 98.28, 119.87 degrees
Positions (direct):
Te (0.7170, 0.7170, 0.1913)
Te (0.9354, 0.5889, 0.8026)
Te (0.5889, 0.9354, 0.8026)
Te (0.4111, 0.0646, 0.1974)
Te (0.2830, 0.2830, 0.8087)
Te (0.0646, 0.4111, 0.1974)
Tl (0.1595, 0.8405, 0.5000)
Tl (0.5000, 0.5000, 0.5000)
Tl (0.8405, 0.1595, 0.5000)
Mn (0.3320, 0.6680, 0.0000)
Mn (0.6680, 0.3320, 0.0000)
Sc (0.0000, 0.0000, 0.0000)

Values from the calculation:
Space-group type   C2/m, No. 12
Energy   -4.66 eV/atom
ΔE_f (raw)   -0.4381 eV/atom
Volume   30.021 Å³/atom